A plane-wave DFT calculation with PBE was carried out for a relaxed structure of Ce6BiRu2.

Cell lengths 8.930, 8.930, 7.630 Å; angles 113.50, 113.50, 60.57 degrees
Atoms (fractional coordinates):
Ce: 0.034 0.781 0.773
Ce: 0.040 0.614 0.386
Ce: 0.219 0.966 0.727
Ce: 0.332 0.360 0.996
Ce: 0.360 0.332 0.496
Ce: 0.386 0.960 0.114
Ce: 0.614 0.040 0.886
Ce: 0.640 0.668 0.504
Ce: 0.668 0.640 0.004
Ce: 0.781 0.034 0.273
Ce: 0.960 0.386 0.614
Ce: 0.966 0.219 0.227
Bi: 0.215 0.785 0.250
Bi: 0.785 0.215 0.750
Ru: 0.085 0.323 0.042
Ru: 0.323 0.085 0.542
Ru: 0.677 0.915 0.458
Ru: 0.915 0.677 0.958

## Properties
- Energy above the most stable polymorph in this dataset: 129 meV per atom


A plane-wave DFT calculation with PBE was carried out for a relaxed structure of Ce3BiRu.

Cell lengths 5.332, 5.332, 5.332 Å; angles 90.00, 90.00, 90.00 degrees
Atoms (fractional coordinates):
Ce: 0.000 0.000 0.500
Ce: 0.000 0.500 0.000
Ce: 0.500 0.000 0.000
Bi: 0.500 0.500 0.500
Ru: 0.000 0.000 0.000

## Properties
- Energy above the most stable polymorph in this dataset: 109 meV per atom


A plane-wave DFT calculation with PBE was carried out for a relaxed structure of Ce2BiRu2.

Cell lengths 5.388, 5.388, 4.735 Å; angles 111.07, 111.07, 99.10 degrees
Atoms (fractional coordinates):
Ce: 0.209 0.791 0.000
Ce: 0.791 0.209 0.000
Bi: 0.500 0.500 0.500
Ru: 0.216 0.216 0.784
Ru: 0.784 0.784 0.216


A plane-wave DFT calculation with PBE was carried out for a relaxed structure of Ce6Bi3Ru.

Cell lengths 6.013, 8.828, 12.718 Å; angles 90.00, 117.81, 90.00 degrees
Atoms (fractional coordinates):
Ce: 0.018 0.141 0.446
Ce: 0.018 0.359 0.946
Ce: 0.385 0.022 0.276
Ce: 0.385 0.478 0.776
Ce: 0.400 0.681 0.448
Ce: 0.400 0.819 0.948
Ce: 0.600 0.181 0.052
Ce: 0.600 0.319 0.552
Ce: 0.615 0.522 0.224
Ce: 0.615 0.978 0.724
Ce: 0.982 0.641 0.054
Ce: 0.982 0.859 0.554
Bi: 0.000 0.000 0.000
Bi: 0.000 0.500 0.500
Bi: 0.153 0.138 0.754
Bi: 0.153 0.362 0.254
Bi: 0.847 0.638 0.746
Bi: 0.847 0.862 0.246
Ru: 0.500 0.000 0.500
Ru: 0.500 0.500 0.000


A plane-wave DFT calculation with PBE was carried out for a relaxed structure of Ce3BiRu.

Cell lengths 8.299, 8.299, 5.021 Å; angles 90.00, 90.00, 125.52 degrees
Atoms (fractional coordinates):
Ce: 0.000 0.500 0.500
Ce: 0.122 0.878 0.000
Ce: 0.322 0.322 0.500
Ce: 0.500 0.000 0.500
Ce: 0.678 0.678 0.500
Ce: 0.878 0.122 0.000
Bi: 0.358 0.642 0.000
Bi: 0.642 0.358 0.000
Ru: 0.104 0.896 0.500
Ru: 0.896 0.104 0.500

## Properties
- Energy above the most stable polymorph in this dataset: 0 meV per atom


A plane-wave DFT calculation with PBE was carried out for a relaxed structure of Ce3BiRu.

Cell lengths 8.107, 4.471, 8.581 Å; angles 90.00, 116.64, 90.00 degrees
Atoms (fractional coordinates):
Ce: 0.026 0.250 0.245
Ce: 0.345 0.750 0.596
Ce: 0.353 0.250 0.919
Ce: 0.647 0.750 0.081
Ce: 0.655 0.250 0.404
Ce: 0.974 0.750 0.755
Bi: 0.298 0.750 0.186
Bi: 0.702 0.250 0.814
Ru: 0.111 0.250 0.620
Ru: 0.889 0.750 0.380

## Properties
- Energy above the most stable polymorph in this dataset: 25 meV per atom


A plane-wave DFT calculation with PBE was carried out for a relaxed structure of CeBi2Ru.

Cell lengths 11.055, 11.055, 11.055 Å; angles 17.21, 17.21, 17.21 degrees
Atoms (fractional coordinates):
Ce: 0.000 0.000 0.000
Bi: 0.420 0.420 0.420
Bi: 0.580 0.580 0.580
Ru: 0.500 0.500 0.500


A plane-wave DFT calculation with PBE was carried out for a relaxed structure of Ce6BiRu2.

Cell lengths 5.882, 5.882, 9.034 Å; angles 92.02, 92.02, 46.79 degrees
Atoms (fractional coordinates):
Ce: 0.081 0.081 0.363
Ce: 0.288 0.288 0.887
Ce: 0.411 0.411 0.326
Ce: 0.589 0.589 0.674
Ce: 0.712 0.712 0.113
Ce: 0.919 0.919 0.637
Bi: 0.000 0.000 0.000
Ru: 0.256 0.256 0.618
Ru: 0.744 0.744 0.382

## Properties
- Energy above the most stable polymorph in this dataset: 0 meV per atom


A plane-wave DFT calculation with PBE was carried out for a relaxed structure of Ce8BiRu6.

Cell lengths 7.297, 7.297, 7.297 Å; angles 90.92, 90.92, 90.92 degrees
Atoms (fractional coordinates):
Ce: 0.061 0.718 0.378
Ce: 0.246 0.246 0.246
Ce: 0.282 0.622 0.939
Ce: 0.378 0.061 0.718
Ce: 0.622 0.939 0.282
Ce: 0.718 0.378 0.061
Ce: 0.754 0.754 0.754
Ce: 0.939 0.282 0.622
Bi: 0.000 0.000 0.000
Ru: 0.244 0.401 0.588
Ru: 0.401 0.588 0.244
Ru: 0.412 0.756 0.599
Ru: 0.588 0.244 0.401
Ru: 0.599 0.412 0.756
Ru: 0.756 0.599 0.412


A plane-wave DFT calculation with PBE was carried out for a relaxed structure of CeBiRu.

Cell lengths 3.362, 3.362, 14.023 Å; angles 96.22, 96.10, 93.91 degrees
Atoms (fractional coordinates):
Ce: 0.131 0.133 0.182
Ce: 0.869 0.867 0.818
Bi: 0.289 0.286 0.629
Bi: 0.711 0.714 0.371
Ru: 0.233 0.233 0.946
Ru: 0.767 0.767 0.054


A plane-wave DFT calculation with PBE was carried out for a relaxed structure of Ce8Bi2Ru.

Cell lengths 9.313, 9.313, 6.534 Å; angles 106.50, 106.50, 34.96 degrees
Atoms (fractional coordinates):
Ce: 0.012 0.012 0.296
Ce: 0.238 0.238 0.632
Ce: 0.362 0.362 0.213
Ce: 0.408 0.408 0.769
Ce: 0.592 0.592 0.231
Ce: 0.638 0.638 0.787
Ce: 0.762 0.762 0.368
Ce: 0.988 0.988 0.704
Bi: 0.167 0.167 0.090
Bi: 0.833 0.833 0.910
Ru: 0.500 0.500 0.500


A plane-wave DFT calculation with PBE was carried out for a relaxed structure of Ce7Bi2Ru2.

Cell lengths 7.059, 7.059, 6.776 Å; angles 90.48, 90.48, 72.50 degrees
Atoms (fractional coordinates):
Ce: 0.000 0.000 0.000
Ce: 0.007 0.497 0.736
Ce: 0.497 0.007 0.736
Ce: 0.497 0.497 0.199
Ce: 0.503 0.503 0.801
Ce: 0.503 0.993 0.264
Ce: 0.993 0.503 0.264
Bi: 0.195 0.805 0.500
Bi: 0.805 0.195 0.500
Ru: 0.259 0.259 0.004
Ru: 0.741 0.741 0.996


VASP energy (eV per atom)
-6.70, -6.56, -7.27, -6.11, -6.67, -6.65, -5.31, -6.83, -7.40, -6.57, -6.14, -6.43
Calculated formation energy (eV/atom)
-0.249, -0.373, -0.406, -0.456, -0.481, -0.457, 0.434, -0.378, -0.270, -0.210, -0.275, -0.260